[1]
Density functional theory data (PBE) for Cd2Ag2Pd after structural relaxation.

## Properties
ΔE_f in eV/f.u.: -0.4

Unit cell a=12.9535 b=4.9701 c=5.8956 alpha=90.00 beta=99.95 gamma=90.00
Closest atoms and distances in Å follow each position.
Space group C2/c (No. 15)
One atom of each set of equivalent atoms:
Cd: 0.1898 0.0014 0.0484 (multiplicity 8)  2 Pd 2.76-2.91, 3 Ag 2.88-2.98, 4 Cd 2.95-3.05
Ag: 0.0978 0.4978 0.6592 (multiplicity 8)  4 Cd 2.88-3.20, 2 Pd 2.88, 4 Ag 2.88-2.95
Pd: 0.0000 0.0024 0.2500 (multiplicity 4)  4 Cd 2.76-2.91, 4 Ag 2.88, 2 Pd 2.95

=====

[2]
Density functional theory data (PBE) for KCd3Ru after structural relaxation.

## Properties
ΔE_f in eV/f.u.: 1.0

Unit cell a=5.2772 b=5.2772 c=5.2772 alpha=90.00 beta=90.00 gamma=90.00
Closest atoms and distances in Å follow each position.
Space group Pm-3m (No. 221)
One atom of each set of equivalent atoms:
K: 0.0000 0.0000 0.0000 (multiplicity 1)  12 Cd 3.73
Cd: 0.0000 0.5000 0.5000 (multiplicity 3)  2 Ru 2.64
Ru: 0.5000 0.5000 0.5000 (multiplicity 1)  6 Cd 2.64

=====

[3]
Density functional theory data (PBE) for TbGdNiSn after structural relaxation.

## Properties
ΔE_f in eV/f.u.: -1.7

Unit cell a=7.2526 b=7.2526 c=7.2526 alpha=90.00 beta=90.00 gamma=90.00
Closest atoms and distances in Å follow each position.
Space group F-43m (No. 216)
One atom of each set of equivalent atoms:
Tb: 0.0000 0.0000 0.0000 (multiplicity 4)  4 Sn 3.14, 4 Ni 3.14
Gd: 0.0000 0.0000 0.5000 (multiplicity 4)  4 Ni 3.14, 4 Sn 3.14
Ni: 0.2500 0.2500 0.7500 (multiplicity 4)  4 Gd 3.14, 4 Tb 3.14
Sn: 0.2500 0.2500 0.2500 (multiplicity 4)  4 Gd 3.14, 4 Tb 3.14

=====

[4]
Density functional theory data (PBE) for ZrCr2Se after structural relaxation.

## Properties
ΔE_f (raw) in meV/atom: 134

Unit cell a=3.2173 b=4.6370 c=9.3071 alpha=90.00 beta=90.00 gamma=90.00
Closest atoms and distances in Å follow each position.
Space group Immm (No. 71)
One atom of each set of equivalent atoms:
Zr: 0.0000 0.0000 0.0000 (multiplicity 2)  4 Se 2.82, 8 Cr 3.03-3.12
Cr: 0.0000 0.5000 0.2247 (multiplicity 4)  2 Se 2.64, 4 Cr 2.86
Se: 0.0000 0.0000 0.5000 (multiplicity 2)  4 Cr 2.64, 4 Zr 2.82

=====

[5]
Density functional theory data (PBE) for Ti2CdO after structural relaxation.

## Properties
ΔE_f (raw) in meV/atom: 95

Unit cell a=6.2847 b=6.2847 c=6.2847 alpha=90.00 beta=90.00 gamma=90.00
Closest atoms and distances in Å follow each position.
Space group Fm-3m (No. 225)
One atom of each set of equivalent atoms:
Ti: 0.2500 0.2500 0.2500 (multiplicity 8)  4 O 2.72, 4 Cd 2.72
Cd: 0.0000 0.0000 0.0000 (multiplicity 4)  8 Ti 2.72
O: 0.0000 0.0000 0.5000 (multiplicity 4)  8 Ti 2.72

=====

[6]
Density functional theory data (PBE) for BRuSe2Br after structural relaxation.

## Properties
ΔE_f (raw) in meV/atom: 1153

Unit cell a=4.7737 b=4.7737 c=5.3602 alpha=90.00 beta=90.00 gamma=90.00
Closest atoms and distances in Å follow each position.
Space group P4/mmm (No. 123)
One atom of each set of equivalent atoms:
B: 0.0000 0.0000 0.0000 (multiplicity 1)  4 Br 3.38, 8 Se 3.59
Ru: 0.5000 0.5000 0.5000 (multiplicity 1)  4 Se 2.39
Se: 0.0000 0.5000 0.5000 (multiplicity 2)  2 Ru 2.39
Br: 0.5000 0.5000 0.0000 (multiplicity 1)  2 Ru 2.68

=====

[7]
Density functional theory data (PBE) for AlTc2 after structural relaxation.

## Properties
ΔE_f in eV/f.u.: -0.5

Unit cell a=2.8443 b=13.7315 c=4.4937 alpha=90.00 beta=90.00 gamma=90.00
Closest atoms and distances in Å follow each position.
Space group Cmcm (No. 63)
One atom of each set of equivalent atoms:
Al: 0.0000 0.2236 0.2500 (multiplicity 4)  6 Tc 2.71-2.74, 6 Al 2.76-2.84
Tc: 0.0000 0.1088 0.7500 (multiplicity 4)  8 Tc 2.64-2.84, 4 Al 2.71-2.74
Tc: 0.0000 0.4465 0.7500 (multiplicity 4)  10 Tc 2.64-2.84, 2 Al 2.73

=====

[8]
Density functional theory data (PBE) for Fe2SbBr after structural relaxation.

## Properties
ΔE_f (raw) in meV/atom: 901

Unit cell a=6.7507 b=6.7507 c=6.7507 alpha=90.00 beta=90.00 gamma=90.00
Closest atoms and distances in Å follow each position.
Space group F-43m (No. 216)
One atom of each set of equivalent atoms:
Fe: 0.0000 0.0000 0.0000 (multiplicity 4)  4 Sb 2.92, 4 Fe 2.92
Fe: 0.2500 0.2500 0.2500 (multiplicity 4)  4 Fe 2.92, 4 Br 2.92
Sb: 0.2500 0.2500 0.7500 (multiplicity 4)  4 Fe 2.92, 4 Br 2.92
Br: 0.0000 0.0000 0.5000 (multiplicity 4)  4 Fe 2.92, 4 Sb 2.92

=====

[9]
Density functional theory data (PBE) for TlCuSb2 after structural relaxation.

## Properties
ΔE_f (raw) in meV/atom: 398

Unit cell a=7.3816 b=7.3816 c=7.3816 alpha=90.00 beta=90.00 gamma=90.00
Closest atoms and distances in Å follow each position.
Space group F-43m (No. 216)
One atom of each set of equivalent atoms:
Tl: 0.0000 0.0000 0.0000 (multiplicity 4)  4 Sb 3.20, 4 Cu 3.20
Cu: 0.2500 0.2500 0.7500 (multiplicity 4)  4 Tl 3.20, 4 Sb 3.20
Sb: 0.0000 0.0000 0.5000 (multiplicity 4)  4 Sb 3.20, 4 Cu 3.20
Sb: 0.2500 0.2500 0.2500 (multiplicity 4)  4 Tl 3.20, 4 Sb 3.20

=====

[10]
Density functional theory data (PBE) for AlTe2Rh after structural relaxation.

## Properties
ΔE_f (raw) in meV/atom: -257

Unit cell a=4.8580 b=3.8742 c=6.3249 alpha=90.00 beta=90.42 gamma=90.00
Closest atoms and distances in Å follow each position.
Space group P2/m (No. 10)
One atom of each set of equivalent atoms:
Al: 0.0000 0.0000 0.0000 (multiplicity 1)  2 Rh 2.43
Te: 0.3240 0.5000 0.2516 (multiplicity 2)  2 Rh 2.65, 2 Al 2.95
Rh: 0.5000 0.0000 0.0000 (multiplicity 1)  2 Al 2.43, 4 Te 2.65

=====

[11]
Density functional theory data (PBE) for Tl2As after structural relaxation.

## Properties
ΔE_f in eV/f.u.: 0.2

Unit cell a=7.2331 b=7.2331 c=7.2331 alpha=90.00 beta=90.00 gamma=90.00
Closest atoms and distances in Å follow each position.
Space group Fm-3m (No. 225)
One atom of each set of equivalent atoms:
Tl: 0.2500 0.2500 0.2500 (multiplicity 8)  4 As 3.13
As: 0.0000 0.0000 0.0000 (multiplicity 4)  8 Tl 3.13

=====

[12]
Density functional theory data (PBE) for CaNiAg2 after structural relaxation.

## Properties
ΔE_f in eV/f.u.: 0.3

Unit cell a=3.2777 b=4.5323 c=5.4343 alpha=90.00 beta=104.84 gamma=90.00
Closest atoms and distances in Å follow each position.
Space group P2/m (No. 10)
One atom of each set of equivalent atoms:
Ca: 0.0000 0.0000 0.0000 (multiplicity 1)  2 Ni 2.79, 4 Ag 3.10
Ni: 0.5000 0.0000 0.5000 (multiplicity 1)  4 Ag 2.67, 2 Ca 2.79
Ag: 0.3453 0.5000 0.7214 (multiplicity 2)  2 Ni 2.67, 3 Ag 2.84-2.94

=====

[13]
Density functional theory data (PBE) for PrNdDyTm2 after structural relaxation.

## Properties
ΔE_f in eV/f.u.: 1.7

Unit cell a=6.4207 b=16.6983 c=6.4148 alpha=90.00 beta=90.00 gamma=90.00
Closest atoms and distances in Å follow each position.
Space group Cmcm (No. 63)
One atom of each set of equivalent atoms:
Pr: 0.0000 0.1573 0.2500 (multiplicity 4)  1 Nd 3.11, 4 Tm 3.47
Nd: 0.0000 0.3436 0.2500 (multiplicity 4)  1 Pr 3.11, 4 Tm 3.46
Dy: 0.0000 0.2496 0.7500 (multiplicity 4)  4 Pr 3.56-3.57, 4 Nd 3.57
Tm: 0.2500 0.0000 0.0000 (multiplicity 8)  4 Tm 3.21, 2 Nd 3.46, 2 Pr 3.47

=====

[14]
Density functional theory data (PBE) for ScAlGa4Fe2 after structural relaxation.

## Properties
ΔE_f in eV/f.u.: 0.3

Unit cell a=3.6391 b=3.6391 c=10.3919 alpha=90.00 beta=90.00 gamma=90.00
Closest atoms and distances in Å follow each position.
Space group P4/mmm (No. 123)
One atom of each set of equivalent atoms:
Sc: 0.0000 0.0000 0.0000 (multiplicity 1)  8 Ga 2.92
Al: 0.0000 0.0000 0.5000 (multiplicity 1)  8 Fe 2.80
Ga: 0.0000 0.5000 0.2197 (multiplicity 4)  2 Fe 2.57, 4 Ga 2.57
Fe: 0.5000 0.5000 0.3939 (multiplicity 2)  1 Fe 2.20

=====

[15]
Density functional theory data (PBE) for Y6InAu2 after structural relaxation.

## Properties
ΔE_f in eV/f.u.: -4.7

Unit cell a=9.6244 b=9.8328 c=10.6877 alpha=90.00 beta=90.00 gamma=90.00
Closest atoms and distances in Å follow each position.
Space group Immm (No. 71)
One atom of each set of equivalent atoms:
Y: 0.0000 0.1987 0.2380 (multiplicity 8)  1 Au 2.91, 1 In 3.21
Y: 0.2031 0.5000 0.1730 (multiplicity 8)  3 Au 2.85-3.10
Y: 0.2132 0.3154 0.5000 (multiplicity 8)  3 Au 3.09-3.17, 1 In 3.30
In: 0.0000 0.0000 0.0000 (multiplicity 2)  8 Y 3.21-3.30, 2 Au 3.37
In: 0.0000 0.0000 0.5000 (multiplicity 2)  12 Y 3.40-3.72
Au: 0.0000 0.3426 0.0000 (multiplicity 4)  8 Y 2.91-3.17, 1 Au 3.10
Au: 0.0000 0.5000 0.3673 (multiplicity 4)  1 Au 2.84, 6 Y 2.85-3.09

=====

[16]
Density functional theory data (PBE) for LiPrEuTm after structural relaxation.

## Properties
ΔE_f in eV/f.u.: 0.7

Unit cell a=8.0193 b=8.0193 c=8.0193 alpha=90.00 beta=90.00 gamma=90.00
Closest atoms and distances in Å follow each position.
Space group F-43m (No. 216)
One atom of each set of equivalent atoms:
Li: 0.0000 0.0000 0.0000 (multiplicity 4)  4 Pr 3.47, 4 Eu 3.47
Pr: 0.2500 0.2500 0.2500 (multiplicity 4)  4 Tm 3.47, 4 Li 3.47
Eu: 0.2500 0.2500 0.7500 (multiplicity 4)  4 Li 3.47, 4 Tm 3.47
Tm: 0.0000 0.0000 0.5000 (multiplicity 4)  4 Pr 3.47, 4 Eu 3.47

=====

[17]
Density functional theory data (PBE) for RbPtI4 after structural relaxation.

## Properties
ΔE_f (raw) in meV/atom: -488

Unit cell a=7.2464 b=4.3106 c=8.8083 alpha=90.00 beta=110.27 gamma=90.00
Closest atoms and distances in Å follow each position.
Space group P2/m (No. 10)
One atom of each set of equivalent atoms:
Rb: 0.0000 0.0000 0.0000 (multiplicity 1)  6 I 3.67-3.88
Pt: 0.5000 0.5000 0.5000 (multiplicity 1)  6 I 2.70-2.84
I: 0.2349 0.0000 0.4687 (multiplicity 2)  2 Pt 2.84
I: 0.4320 0.5000 0.1783 (multiplicity 2)  1 Pt 2.70

=====

[18]
Density functional theory data (PBE) for Zn3CuNi7 after structural relaxation.

## Properties
ΔE_f in eV/f.u.: 2.0

Unit cell a=8.2552 b=8.3526 c=4.5348 alpha=90.00 beta=115.24 gamma=90.00
Closest atoms and distances in Å follow each position.
Space group C2/m (No. 12)
One atom of each set of equivalent atoms:
Zn: 0.0000 0.0000 0.0000 (multiplicity 2)  6 Ni 2.35-2.44
Zn: 0.0000 0.2118 0.5000 (multiplicity 4)  7 Ni 2.41-2.49
Cu: 0.0000 0.5000 0.0000 (multiplicity 2)  8 Ni 2.27-2.48
Ni: 0.0000 0.5000 0.5000 (multiplicity 2)  2 Cu 2.27, 2 Zn 2.41, 2 Ni 2.42
Ni: 0.1725 0.2468 0.1757 (multiplicity 8)  5 Ni 2.43-2.66, 3 Zn 2.44-2.49, 1 Cu 2.48
Ni: 0.2175 0.0000 0.5431 (multiplicity 4)  3 Zn 2.35-2.47, 1 Cu 2.37, 5 Ni 2.42-2.58

=====

[19]
Density functional theory data (PBE) for Sc4Te after structural relaxation.

## Properties
ΔE_f (raw) in meV/atom: 163

Unit cell a=6.6092 b=6.6092 c=6.6092 alpha=90.00 beta=90.00 gamma=90.00
Closest atoms and distances in Å follow each position.
Space group Im-3m (No. 229)
One atom of each set of equivalent atoms:
Sc: 0.2500 0.2500 0.2500 (multiplicity 8)  2 Te 2.86
Te: 0.0000 0.0000 0.0000 (multiplicity 2)  8 Sc 2.86

=====

[20]
Density functional theory data (PBE) for ScFe2CoB after structural relaxation.

## Properties
ΔE_f in eV/f.u.: -1.2

Unit cell a=3.8872 b=3.8872 c=3.9127 alpha=90.00 beta=90.00 gamma=90.00
Closest atoms and distances in Å follow each position.
Space group P4/mmm (No. 123)
One atom of each set of equivalent atoms:
Sc: 0.0000 0.0000 0.0000 (multiplicity 1)  4 Co 2.75, 8 Fe 2.76
Fe: 0.0000 0.5000 0.5000 (multiplicity 2)  2 B 1.94
Co: 0.5000 0.5000 0.0000 (multiplicity 1)  2 B 1.96
B: 0.5000 0.5000 0.5000 (multiplicity 1)  4 Fe 1.94, 2 Co 1.96

=====

[21]
Density functional theory data (PBE) for TiCo2Cl after structural relaxation.

## Properties
ΔE_f (raw) in meV/atom: 502

Unit cell a=5.9687 b=5.9687 c=5.9687 alpha=90.00 beta=90.00 gamma=90.00
Closest atoms and distances in Å follow each position.
Space group Fm-3m (No. 225)
One atom of each set of equivalent atoms:
Ti: 0.0000 0.0000 0.0000 (multiplicity 4)  8 Co 2.58
Co: 0.2500 0.2500 0.2500 (multiplicity 8)  4 Cl 2.58, 4 Ti 2.58
Cl: 0.0000 0.0000 0.5000 (multiplicity 4)  8 Co 2.58

=====

[22]
Density functional theory data (PBE) for Fe6PdPt after structural relaxation.

## Properties
ΔE_f in eV/f.u.: -0.1

Unit cell a=6.5139 b=8.0395 c=4.0056 alpha=90.00 beta=90.00 gamma=90.00
Closest atoms and distances in Å follow each position.
Space group Cmmm (No. 65)
One atom of each set of equivalent atoms:
Fe: 0.0000 0.2493 0.0000 (multiplicity 4)  8 Fe 2.58-2.59, 2 Pd 2.83, 2 Pt 2.84
Fe: 0.2493 0.5000 0.0000 (multiplicity 4)  2 Pt 2.58, 2 Pd 2.58, 8 Fe 2.59-2.84
Fe: 0.2500 0.2500 0.5000 (multiplicity 4)  8 Fe 2.58-2.84, 2 Pd 2.59, 2 Pt 2.59
Pd: 0.0000 0.0000 0.5000 (multiplicity 2)  12 Fe 2.58-2.83
Pt: 0.0000 0.5000 0.5000 (multiplicity 2)  12 Fe 2.58-2.84

=====

[23]
Density functional theory data (PBE) for Nd2Sm7Er3 after structural relaxation.

## Properties
ΔE_f in eV/f.u.: 0.8

Unit cell a=6.4214 b=3.5588 c=17.6170 alpha=90.00 beta=96.04 gamma=90.00
Closest atoms and distances in Å follow each position.
Space group P2/m (No. 10)
One atom of each set of equivalent atoms:
Nd: 0.0589 0.0000 0.1714 (multiplicity 2)  5 Sm 3.42-3.56, 2 Nd 3.56, 4 Er 3.63-3.73
Sm: 0.0000 0.5000 0.5000 (multiplicity 1)  8 Sm 3.55-3.64, 4 Er 3.67
Sm: 0.2281 0.0000 0.6691 (multiplicity 2)  1 Nd 3.52, 8 Sm 3.56-3.69, 3 Er 3.61-3.68
Sm: 0.2577 0.0000 0.9971 (multiplicity 2)  2 Sm 3.10-3.32, 2 Nd 3.42-3.45
Sm: 0.2769 0.5000 0.3362 (multiplicity 2)  7 Sm 3.55-3.69, 3 Er 3.56-3.74, 2 Nd 3.56
Er: 0.4535 0.5000 0.8417 (multiplicity 2)  2 Er 3.56, 7 Sm 3.60-3.74, 4 Nd 3.63-3.73
Er: 0.5000 0.0000 0.5000 (multiplicity 1)  2 Er 3.56, 10 Sm 3.56-3.67

=====

[24]
Density functional theory data (PBE) for Au2SeF after structural relaxation.

## Properties
ΔE_f (raw) in meV/atom: -133

Unit cell a=5.4458 b=5.4458 c=12.6747 alpha=90.00 beta=90.00 gamma=90.00
Closest atoms and distances in Å follow each position.
Space group I-42d (No. 122)
One atom of each set of equivalent atoms:
Au: 0.2473 0.2500 0.1250 (multiplicity 8)  2 Se 2.49, 2 F 2.50
Se: 0.0000 0.0000 0.0000 (multiplicity 4)  4 Au 2.49
F: 0.0000 0.0000 0.5000 (multiplicity 4)  4 Au 2.50

=====

[25]
Density functional theory data (PBE) for Tb4ErGa5 after structural relaxation.

## Properties
ΔE_f in eV/f.u.: -5.8

Unit cell a=3.5727 b=3.5727 c=17.9247 alpha=90.00 beta=90.00 gamma=90.00
Closest atoms and distances in Å follow each position.
Space group P4/mmm (No. 123)
One atom of each set of equivalent atoms:
Tb: 0.0000 0.0000 0.1006 (multiplicity 2)  8 Ga 3.10
Tb: 0.0000 0.0000 0.3021 (multiplicity 2)  8 Ga 3.11
Er: 0.0000 0.0000 0.5000 (multiplicity 1)  8 Ga 3.06
Ga: 0.5000 0.5000 0.0000 (multiplicity 1)  8 Tb 3.10
Ga: 0.5000 0.5000 0.2013 (multiplicity 2)  8 Tb 3.10-3.11
Ga: 0.5000 0.5000 0.4035 (multiplicity 2)  4 Er 3.06, 4 Tb 3.11

=====

[26]
Density functional theory data (PBE) for Ba2ScAs after structural relaxation.

## Properties
ΔE_f in eV/f.u.: -1.3

Unit cell a=12.0982 b=12.0982 c=5.1752 alpha=90.00 beta=90.00 gamma=90.00
Closest atoms and distances in Å follow each position.
Space group I-42d (No. 122)
One atom of each set of equivalent atoms:
Ba: 0.0955 0.7500 0.1250 (multiplicity 8)  2 As 3.30
Sc: 0.0000 0.0000 0.5000 (multiplicity 4)  2 As 2.59
As: 0.0000 0.0000 0.0000 (multiplicity 4)  2 Sc 2.59

=====

no.,calculated density (g/cm³),VASP energy (eV per atom)
1,9.72,-2.6324
2,5.39,-2.4243
3,8.59,-7.5606
4,6.56,-7.6859
5,6.00,-5.3204
6,4.75,-3.7658
7,8.44,-8.3090
8,6.77,-4.7795
9,8.45,-3.2790
10,5.37,-4.6017
11,8.49,-3.0676
12,6.69,-3.3061
13,7.59,-4.2752
14,5.58,-4.8523
15,6.84,-5.8624
16,6.04,-5.1739
17,5.07,-2.6896
18,7.87,-4.2169
19,3.54,-5.5303
20,6.36,-7.6503
21,6.28,-5.4860
22,10.08,-7.7614
23,7.64,-4.6200
24,8.69,-3.1102
25,8.36,-4.4060
26,3.46,-4.0430